No. 1
LiTaI2O: optimized geometry, PBE.

As for the uncorrected formation energy: 1.6 eV per formula unit. For the relative energy among the computed polymorphs, the calculation gives 1160 meV per atom.

```
5
Lattice="5.285 0.000 0.000 0.000 5.285 0.000 0.000 0.000 3.475" Properties=species:S:1:pos:R:3 pbc="T T T"
Li 0.000 0.000 0.000
Ta 2.643 2.643 1.738
I 0.000 2.643 0.000
I 2.643 0.000 0.000
O 0.000 0.000 1.738
```

***

No. 2
TmLuPt2: optimized geometry, PBE.

The formation enthalpy at 0 K is -1.158 eV per atom. For the relative energy among the computed polymorphs, the calculation gives 141 meV per atom.

```
4
Lattice="2.007 1.159 6.511 -2.007 1.159 6.511 0.000 -2.318 6.511" Properties=species:S:1:pos:R:3 pbc="T T T"
Tm 0.000 0.000 0.000
Lu 0.000 0.000 9.766
Pt 0.000 0.000 4.863
Pt 0.000 0.000 14.670
```